No. 1
VASP calculation (PBE) on an optimized crystal structure of Rb2SrPa2O7.

Output
Formation energy from raw total energies: -3.04 eV/atom
Density: 6.1 g/cm3
SG: I4/mmm
Total DFT energy (no corrections): -93.85 eV for the cell shown

Lattice parameters (Å, degrees): 12.0146 12.0146 12.0146 158.83 158.83 30.11
Atoms (fractional coordinates):
Rb: 0.1946 0.1946 0.0000
Rb: 0.8054 0.8054 0.0000
Sr: 0.0000 0.0000 0.0000
Pa: 0.4058 0.4058 0.0000
Pa: 0.5942 0.5942 0.0000
O: 0.0814 0.5814 0.5000
O: 0.3178 0.3178 0.0000
O: 0.4186 0.9186 0.5000
O: 0.5000 0.5000 0.0000
O: 0.5814 0.0814 0.5000
O: 0.6822 0.6822 0.0000
O: 0.9186 0.4186 0.5000


No. 2
VASP calculation (PBE) on an optimized crystal structure of RbSr2Pa2O7.

Output
Formation energy from raw total energies: -3.01 eV/atom
Density: 6.4 g/cm3
SG: I4/mmm
Total DFT energy (no corrections): -94.17 eV for the cell shown

Lattice parameters (Å, degrees): 10.6608 10.6608 10.6608 154.94 154.94 35.73
Atoms (fractional coordinates):
Rb: 0.0000 0.0000 0.0000
Sr: 0.2500 0.7500 0.5000
Sr: 0.7500 0.2500 0.5000
Pa: 0.3925 0.3925 0.0000
Pa: 0.6075 0.6075 0.0000
O: 0.1186 0.6186 0.5000
O: 0.2833 0.2833 0.0000
O: 0.3814 0.8814 0.5000
O: 0.5000 0.5000 0.0000
O: 0.6186 0.1186 0.5000
O: 0.7167 0.7167 0.0000
O: 0.8814 0.3814 0.5000


No. 3
VASP calculation (PBE) on an optimized crystal structure of RbSr2PaO5.

Output
Formation energy from raw total energies: -2.95 eV/atom
Density: 5.6 g/cm3
SG: Immm
Total DFT energy (no corrections): -65.14 eV for the cell shown

Lattice parameters (Å, degrees): 7.1377 7.1377 7.1377 143.88 126.42 66.33
Atoms (fractional coordinates):
Rb: 0.0000 0.0000 0.0000
Sr: 0.2756 0.7756 0.5000
Sr: 0.7244 0.2244 0.5000
Pa: 0.5000 0.5000 0.0000
O: 0.1408 0.3622 0.7786
O: 0.4164 0.6378 0.7786
O: 0.5000 0.0000 0.5000
O: 0.5836 0.3622 0.2214
O: 0.8592 0.6378 0.2214


No. 4
VASP calculation (PBE) on an optimized crystal structure of Rb2SrPaO4.

Output
Formation energy from raw total energies: -2.50 eV/atom
Density: 5.7 g/cm3
SG: P2/m
Total DFT energy (no corrections): -52.92 eV for the cell shown

Lattice parameters (Å, degrees): 6.4915 3.6848 7.1249 90.00 109.13 90.00
Atoms (fractional coordinates):
Rb: 0.0000 0.0000 0.0000
Rb: 0.5000 0.5000 0.0000
Sr: 0.0000 0.5000 0.5000
Pa: 0.5000 0.0000 0.5000
O: 0.2717 0.0000 0.6646
O: 0.3039 0.5000 0.3283
O: 0.6961 0.5000 0.6717
O: 0.7283 0.0000 0.3354


No. 5
VASP calculation (PBE) on an optimized crystal structure of Rb4SrPa3O12.

Output
Formation energy from raw total energies: -2.66 eV/atom
Density: 6.0 g/cm3
SG: Im-3m
Total DFT energy (no corrections): -146.65 eV for the cell shown

Lattice parameters (Å, degrees): 7.7889 7.7889 7.7889 109.47 109.47 109.47
Atoms (fractional coordinates):
Rb: 0.0000 0.0000 0.5000
Rb: 0.0000 0.5000 0.0000
Rb: 0.5000 0.0000 0.0000
Rb: 0.5000 0.5000 0.5000
Sr: 0.0000 0.0000 0.0000
Pa: 0.0000 0.5000 0.5000
Pa: 0.5000 0.0000 0.5000
Pa: 0.5000 0.5000 0.0000
O: 0.0000 0.2756 0.2756
O: 0.0000 0.7244 0.7244
O: 0.2500 0.5000 0.7500
O: 0.2500 0.7500 0.5000
O: 0.2756 0.0000 0.2756
O: 0.2756 0.2756 0.0000
O: 0.5000 0.2500 0.7500
O: 0.5000 0.7500 0.2500
O: 0.7244 0.0000 0.7244
O: 0.7244 0.7244 0.0000
O: 0.7500 0.2500 0.5000
O: 0.7500 0.5000 0.2500


No. 6
VASP calculation (PBE) on an optimized crystal structure of Rb4PaTa3O12.

Output
Formation energy from raw total energies: -2.68 eV/atom
Density: 7.5 g/cm3
SG: Im-3m
Total DFT energy (no corrections): -162.04 eV for the cell shown

Lattice parameters (Å, degrees): 7.2029 7.2029 7.2029 109.47 109.47 109.47
Atoms (fractional coordinates):
Rb: 0.0000 0.0000 0.5000
Rb: 0.0000 0.5000 0.0000
Rb: 0.5000 0.0000 0.0000
Rb: 0.5000 0.5000 0.5000
Pa: 0.0000 0.0000 0.0000
Ta: 0.0000 0.5000 0.5000
Ta: 0.5000 0.0000 0.5000
Ta: 0.5000 0.5000 0.0000
O: 0.0000 0.2616 0.2616
O: 0.0000 0.7384 0.7384
O: 0.2500 0.5000 0.7500
O: 0.2500 0.7500 0.5000
O: 0.2616 0.0000 0.2616
O: 0.2616 0.2616 0.0000
O: 0.5000 0.2500 0.7500
O: 0.5000 0.7500 0.2500
O: 0.7384 0.0000 0.7384
O: 0.7384 0.7384 0.0000
O: 0.7500 0.2500 0.5000
O: 0.7500 0.5000 0.2500